No. 1
# GGA-PBE Nd6Co2AgI3, optimized geometry
# **Formation energy from raw total energies**: -0.564 eV/atom
# **Energy**: -4.758 eV/atom
data_Nd6Co2AgI3
_chemical_formula_sum 'Nd12 Co4 Ag2 I6'
_cell_length_a 20.1098
_cell_length_b 4.1586
_cell_length_c 9.5005
_cell_angle_alpha 90.00
_cell_angle_beta 111.40
_cell_angle_gamma 90.00
_space_group_name_H-M_alt 'C 1 2/m 1'
_space_group_IT_number 12
loop_
_space_group_symop_operation_xyz
'x,y,z'
'-x,-y,-z'
'-x,y,-z'
'x,-y,z'
'x+1/2,y+1/2,z'
'-x+1/2,-y+1/2,-z'
'-x+1/2,y+1/2,-z'
'x+1/2,-y+1/2,z'
loop_
_atom_site_label
_atom_site_type_symbol
_atom_site_fract_x
_atom_site_fract_y
_atom_site_fract_z
_atom_site_occupancy
Nd1 Nd 0.0296 0.0000 0.2488 1
Nd2 Nd 0.1639 0.5000 0.1433 1
Nd3 Nd 0.1843 0.5000 0.5538 1
Co1 Co 0.1696 0.0000 0.3421 1
Ag1 Ag 0.0000 0.5000 0.0000 1
I1 I 0.0000 0.5000 0.5000 1
I2 I 0.1627 0.0000 0.8369 1

***

No. 2
# GGA-PBE Cd2Bi2Rh, optimized geometry
# **Energy of formation**: -0.1173 eV per atom
# **Energy**: -3.506 eV/atom
# **Relative energy among the computed polymorphs**: 0 meV/atom
data_Cd2Bi2Rh
_chemical_formula_sum 'Cd8 Bi8 Rh4'
_cell_length_a 6.3129
_cell_length_b 13.2050
_cell_length_c 5.9640
_cell_angle_alpha 90.00
_cell_angle_beta 90.00
_cell_angle_gamma 90.00
_space_group_name_H-M_alt 'I b a m'
_space_group_IT_number 72
_space_group_name_Hall '-I 2 2c'
loop_
_atom_site_label
_atom_site_type_symbol
_atom_site_fract_x
_atom_site_fract_y
_atom_site_fract_z
_atom_site_occupancy
Cd1 Cd 0.1582 0.0877 0.0000 1
Bi1 Bi 0.1924 0.3442 0.0000 1
Rh1 Rh 0.0000 0.5000 0.2500 1

***

No. 3
# GGA-PBE TbLuTcNi, optimized geometry
# **Energy of formation**: -0.1573 eV per atom
# **Energy**: -6.482 eV/atom
data_TbLuTcNi
_chemical_formula_sum 'Tb4 Lu4 Tc4 Ni4'
_cell_length_a 6.7395
_cell_length_b 6.7395
_cell_length_c 6.7395
_cell_angle_alpha 90.00
_cell_angle_beta 90.00
_cell_angle_gamma 90.00
_space_group_name_H-M_alt 'F -4 3 m'
_space_group_IT_number 216
_space_group_name_Hall 'F -4 2 3'
loop_
_atom_site_label
_atom_site_type_symbol
_atom_site_fract_x
_atom_site_fract_y
_atom_site_fract_z
_atom_site_occupancy
Tb1 Tb 0.0000 0.0000 0.0000 1
Lu1 Lu 0.0000 0.0000 0.5000 1
Tc1 Tc 0.2500 0.2500 0.7500 1
Ni1 Ni 0.2500 0.2500 0.2500 1

***

No. 4
# GGA-PBE Tc2MoRh, optimized geometry
# **Energy of formation**: -0.0374 eV per atom
# **Energy**: -9.766 eV/atom
# **Relative energy among the computed polymorphs**: 28 meV/atom
data_Tc2MoRh
_chemical_formula_sum 'Tc4 Mo2 Rh2'
_cell_length_a 3.8998
_cell_length_b 3.8998
_cell_length_c 7.7577
_cell_angle_alpha 90.00
_cell_angle_beta 90.00
_cell_angle_gamma 90.00
_space_group_name_H-M_alt 'I -4 m 2'
_space_group_IT_number 119
_space_group_name_Hall 'I -4 -2'
loop_
_atom_site_label
_atom_site_type_symbol
_atom_site_fract_x
_atom_site_fract_y
_atom_site_fract_z
_atom_site_occupancy
Tc1 Tc 0.0000 0.0000 0.0000 1
Tc2 Tc 0.0000 0.5000 0.2500 1
Mo1 Mo 0.0000 0.0000 0.5000 1
Rh1 Rh 0.0000 0.5000 0.7500 1

***

No. 5
# GGA-PBE Th2AgGe4Ir3, optimized geometry
# **Energy of formation**: -0.6692 eV per atom
# **Energy**: -6.944 eV/atom
data_Th2AgGe4Ir3
_chemical_formula_sum 'Th2 Ag1 Ge4 Ir3'
_cell_length_a 4.3401
_cell_length_b 4.3401
_cell_length_c 10.1823
_cell_angle_alpha 90.00
_cell_angle_beta 90.00
_cell_angle_gamma 90.00
_space_group_name_H-M_alt 'P -4 m 2'
_space_group_IT_number 115
loop_
_space_group_symop_operation_xyz
'x,y,z'
'y,-x,-z'
'-x,-y,z'
'-y,x,-z'
'-x,y,z'
'-y,-x,-z'
'x,-y,z'
'y,x,-z'
loop_
_atom_site_label
_atom_site_type_symbol
_atom_site_fract_x
_atom_site_fract_y
_atom_site_fract_z
_atom_site_occupancy
Th1 Th 0.0000 0.5000 0.2435 1
Ag1 Ag 0.0000 0.0000 0.5000 1
Ge1 Ge 0.0000 0.0000 0.0000 1
Ge2 Ge 0.0000 0.5000 0.6381 1
Ge3 Ge 0.5000 0.5000 0.0000 1
Ir1 Ir 0.0000 0.5000 0.8774 1
Ir2 Ir 0.5000 0.5000 0.5000 1

***

No. 6
# GGA-PBE AcZn4Rh, optimized geometry
# **Energy of formation**: -0.3616 eV per atom
# **Energy**: -3.121 eV/atom
# **Relative energy among the computed polymorphs**: 0 meV/atom
data_AcZn4Rh
_chemical_formula_sum 'Ac2 Zn8 Rh2'
_cell_length_a 8.0870
_cell_length_b 4.0926
_cell_length_c 7.2257
_cell_angle_alpha 90.00
_cell_angle_beta 90.00
_cell_angle_gamma 90.00
_space_group_name_H-M_alt 'P m m a'
_space_group_IT_number 51
loop_
_space_group_symop_operation_xyz
'x,y,z'
'-x,-y,-z'
'-x+1/2,-y,z'
'x+1/2,y,-z'
'x+1/2,-y,-z'
'-x+1/2,y,z'
'-x,y,-z'
'x,-y,z'
loop_
_atom_site_label
_atom_site_type_symbol
_atom_site_fract_x
_atom_site_fract_y
_atom_site_fract_z
_atom_site_occupancy
Ac1 Ac 0.2500 0.0000 0.1026 1
Zn1 Zn 0.0000 0.0000 0.5000 1
Zn2 Zn 0.0533 0.5000 0.7699 1
Zn3 Zn 0.2500 0.5000 0.4590 1
Rh1 Rh 0.2500 0.0000 0.7029 1